# 1
Material: RbTlSe2
Method: DFT, meta-GGA SCAN
State: single point on PBEsol structure

The structure in POSCAR format:
```
RbTlSe2
1.0
-6.680 -1.525 1.918
1.114 -0.731 -6.989
4.781 -4.449 2.824
Tl Se Rb
2 4 2
direct
0.500 0.750 0.250
0.000 0.000 0.000
0.073 0.698 0.125
0.573 0.875 0.948
0.927 0.052 0.625
0.427 0.375 0.302
0.500 0.250 0.750
0.000 0.500 0.500
```

**Formation energy without anion corrections**: -727 meV per atom
**Energy relative to the lowest polymorph listed for this composition**: 37.7 meV per atom

=====

# 2
Material: KLaCu2
Method: DFT, meta-GGA SCAN
State: single point on PBEsol structure

The structure in POSCAR format:
```
KLaCu2
1.0
3.380 0.000 0.000
0.000 3.380 0.000
0.000 0.000 8.898
La Cu K
1 2 1
direct
0.500 0.500 0.851
0.500 0.500 0.157
0.000 0.000 0.065
0.000 0.000 0.427
```

**ΔE_f**: 0.23 eV/atom

=====

# 3
Material: TbAl3B4O12
Method: DFT, meta-GGA SCAN
State: single point on PBEsol structure

The structure in POSCAR format:
```
TbAl3B4O12
1.0
-3.346 3.756 -3.065
1.962 -3.861 -3.992
-8.131 -6.174 4.171
O Al B Tb
24 6 8 2
direct
0.648 0.734 0.740
0.734 0.648 0.240
0.296 0.826 0.639
0.575 0.107 0.796
0.703 0.495 0.927
0.266 0.352 0.760
0.003 0.814 0.068
0.186 0.997 0.432
0.505 0.297 0.573
0.352 0.266 0.260
0.628 0.868 0.001
0.107 0.575 0.296
0.425 0.893 0.204
0.826 0.296 0.139
0.297 0.505 0.073
0.893 0.425 0.704
0.372 0.132 0.999
0.868 0.628 0.501
0.704 0.174 0.361
0.495 0.703 0.427
0.997 0.186 0.932
0.174 0.704 0.861
0.132 0.372 0.499
0.814 0.003 0.568
0.587 0.413 0.750
0.193 0.696 0.472
0.304 0.807 0.028
0.807 0.304 0.528
0.696 0.193 0.972
0.413 0.587 0.250
0.778 0.722 0.997
0.883 0.505 0.222
0.495 0.117 0.278
0.722 0.778 0.497
0.505 0.883 0.722
0.222 0.278 0.003
0.117 0.495 0.778
0.278 0.222 0.503
0.965 0.035 0.250
0.035 0.965 0.750
```

**Formation energy without anion corrections**: -3132 meV per atom

=====

# 4
Material: HgBH2Ir
Method: DFT, meta-GGA SCAN
State: single point on PBEsol structure

The structure in POSCAR format:
```
HgBH2Ir
1.0
3.703 0.000 0.000
0.000 3.703 0.000
0.000 0.000 4.143
Hg B H Ir
1 1 2 1
direct
0.500 0.500 0.500
0.000 0.000 0.000
0.500 0.000 0.000
0.000 0.500 0.000
0.000 0.000 0.500
```

=====

# 5
Material: In2CS
Method: DFT, meta-GGA SCAN
State: single point on PBEsol structure

The structure in POSCAR format:
```
In2CS
1.0
5.530 0.000 0.000
0.000 5.530 0.000
-2.765 -2.765 5.345
S In C
2 4 2
direct
0.250 0.750 0.500
0.000 0.000 0.000
0.444 0.875 0.250
0.125 0.194 0.750
0.806 0.375 0.250
0.625 0.556 0.750
0.750 0.250 0.500
0.500 0.500 0.000
```

**Formation energy without anion corrections**: 83 meV per atom

=====

# 6
Material: ReHg3Ir
Method: DFT, meta-GGA SCAN
State: single point on PBEsol structure

The structure in POSCAR format:
```
ReHg3Ir
1.0
5.111 0.000 0.000
0.000 5.111 0.000
0.000 0.000 5.111
Ir Hg Re
1 3 1
direct
0.000 0.000 0.000
0.500 0.000 0.000
0.000 0.500 0.000
0.000 0.000 0.500
0.500 0.500 0.500
```

**ΔE_f**: 1.64 eV/atom

=====

# 7
Material: BaLaAl2
Method: DFT, meta-GGA SCAN
State: single point on PBEsol structure

The structure in POSCAR format:
```
BaLaAl2
1.0
-2.733 -1.298 2.485
2.803 -1.307 2.401
0.066 6.883 3.669
Al La Ba
2 1 1
direct
0.000 0.000 0.711
0.000 0.000 0.289
0.500 0.500 0.500
0.500 0.500 0.000
```

**ΔE_f**: -0.20 eV/atom
**Energy relative to the lowest polymorph listed for this composition**: 0.0 meV per atom

=====

# 8
Material: FeCoW2
Method: DFT, meta-GGA SCAN
State: single point on PBEsol structure

The structure in POSCAR format:
```
FeCoW2
1.0
2.687 0.000 0.000
1.343 2.327 0.000
1.343 0.776 8.641
W Co Fe
2 1 1
direct
0.757 0.757 0.730
0.994 0.994 0.017
0.505 0.505 0.485
0.244 0.244 0.269
```

**ΔE_f**: 0.38 eV/atom
**Energy relative to the lowest polymorph listed for this composition**: 105.3 meV per atom

=====

# 9
Material: AsBrCl
Method: DFT, meta-GGA SCAN
State: single point on PBEsol structure

The structure in POSCAR format:
```
AsBrCl
1.0
-1.084 -0.077 3.990
3.832 -1.077 -1.123
1.644 5.276 0.548
Br Cl As
1 1 1
direct
0.333 0.667 0.767
0.667 0.333 0.223
0.000 0.000 0.010
```

**Formation energy without anion corrections**: -46 meV per atom
**Energy relative to the lowest polymorph listed for this composition**: 0.0 meV per atom

=====

# 10
Material: MnAlSb
Method: DFT, meta-GGA SCAN
State: single point on PBEsol structure

The structure in POSCAR format:
```
MnAlSb
1.0
-1.115 2.437 -1.606
-1.044 -2.881 -0.607
-4.385 0.718 4.134
Al Mn Sb
1 1 1
direct
0.000 0.000 0.956
0.667 0.333 0.672
0.333 0.667 0.372
```

**Formation energy without anion corrections**: 152 meV per atom
**Energy relative to the lowest polymorph listed for this composition**: 0.0 meV per atom

=====

What did we get for energy? Answer: -34.041 -20.228 -11.858 -29.710 -21.542 -67.698 -24.739 -43.327 -15.922 -20.938 eV per atom, in the order shown.